Entry 1:
DFT (PBEsol) results for a geometry-optimized Sb2TePdI structure.

The structure belongs to space group P4/mmm (No. 123); the cell edges are 5.244, 5.244 and 5.205 Å and the angles 90.00°, 90.00° and 90.00°. The asymmetric unit holds Sb at (0.000, 0.500, 0.000), Te at (0.000, 0.000, 0.500), Pd at (0.000, 0.000, 0.000) and I at (0.500, 0.500, 0.500).

As for the uncorrected formation energy: 0.295 eV per atom. The total energy comes out at -3.778 eV per atom.

Entry 2:
DFT (PBEsol) results for a geometry-optimized SbPdWI2 structure.

The structure belongs to space group P4/mmm (No. 123); the cell edges are 5.213, 5.213 and 5.246 Å and the angles 90.00°, 90.00° and 90.00°. The asymmetric unit holds Sb at (0.000, 0.000, 0.000), Pd at (0.000, 0.000, 0.500), W at (0.500, 0.500, 0.000) and I at (0.000, 0.500, 0.500).

As for the uncorrected formation energy: 1.407 eV per atom. The total energy comes out at -4.165 eV per atom.

Q: What is the total energy in the first record?
A: -3.778 eV per atom